Material: RbPbSeO6
Method: DFT, PBE-GGA
State: relaxed

a b c (Å): 5.4115 5.4115 6.3421
angles (deg): 90.00 90.00 60.00
With the nearest neighbours (Å) after each atom.
Atoms (fractional coordinates):
Rb1 0.0000 0.0000 0.0000  6 O 2.93
Pb1 0.6667 0.6667 0.5000  6 O 2.21
Se1 0.3333 0.3333 0.5000  6 O 1.83
O1 0.0523 0.3528 0.3282  1 Se 1.83
O2 0.3527 0.0523 0.6718  1 Se 1.83
O3 0.5949 0.3528 0.6718  1 Se 1.83
O4 0.0523 0.5949 0.6717  1 Se 1.83
O5 0.3527 0.5949 0.3282  1 Se 1.83
O6 0.5949 0.0523 0.3282  1 Se 1.83

Computed properties:
Space group = P312
Uncorrected formation energy = -642 kJ/mol of formula units
Density = 4.8 Mg/m³

***

Material: Rb2Si2PbO6
Method: DFT, PBE-GGA
State: relaxed

a b c (Å): 6.1135 6.1052 7.4295
angles (deg): 113.62 90.00 120.05
With the nearest neighbours (Å) after each atom.
Atoms (fractional coordinates):
Rb1 0.7034 0.4067 0.1113  9 O 3.06-3.21
Rb2 0.2966 0.5933 0.8887  9 O 3.06-3.21
Si1 0.9169 0.8337 0.7478  3 O 1.59
Si2 0.0831 0.1663 0.2522  3 O 1.59
Pb1 0.5000 0.0000 0.5000  6 O 2.54
O1 0.7654 0.5308 0.7444  1 Si 1.59
O2 0.2311 0.0121 0.2472  1 Si 1.59
O3 0.2190 0.9879 0.7528  1 Si 1.59
O4 0.7689 0.9879 0.7528  1 Si 1.59
O5 0.7810 0.0121 0.2472  1 Si 1.59
O6 0.2346 0.4692 0.2556  1 Si 1.59

Computed properties:
Space group = C2/m
Uncorrected formation energy = -2125 kJ/mol of formula units
Density = 4.1 Mg/m³

***

Material: Rb2SiPbO4
Method: DFT, PBE-GGA
State: relaxed

a b c (Å): 5.9688 6.5276 7.8907
angles (deg): 90.00 90.00 90.00
With the nearest neighbours (Å) after each atom.
Atoms (fractional coordinates):
Rb1 0.5000 0.2705 0.2385  7 O 2.92-3.05
Rb2 0.5000 0.2705 0.7615  7 O 2.92-3.05
Rb3 0.0000 0.7295 0.7385  7 O 2.92-3.05
Rb4 0.0000 0.7295 0.2615  7 O 2.92-3.05
Si1 0.5000 0.8431 0.5000  4 O 1.65-1.68
Si2 0.0000 0.1569 0.0000  4 O 1.65-1.68
Pb1 0.0000 0.2255 0.5000  2 O 2.22
Pb2 0.5000 0.7745 0.0000  2 O 2.22
O1 0.2269 0.0046 0.0000  1 Si 1.68
O2 0.7269 0.9954 0.5000  1 Si 1.68
O3 0.2732 0.9956 0.5000  1 Si 1.68
O4 0.7732 0.0044 0.0000  1 Si 1.68
O5 0.4999 0.7060 0.6752  1 Si 1.65
O6 0.9999 0.2940 0.1752  1 Si 1.65
O7 0.9999 0.2940 0.8248  1 Si 1.65
O8 0.4999 0.7060 0.3248  1 Si 1.65

Computed properties:
Space group = Pmmn
Uncorrected formation energy = -1510 kJ/mol of formula units
Density = 5.1 Mg/m³

***

Material: Rb2Sm2PbO6
Method: DFT, PBE-GGA
State: relaxed

a b c (Å): 6.1226 6.1226 6.9993
angles (deg): 97.86 97.86 119.97
With the nearest neighbours (Å) after each atom.
Atoms (fractional coordinates):
Rb1 0.8357 0.1643 0.0000  6 O 2.94-3.08
Rb2 0.1643 0.8357 0.0000  6 O 2.94-3.08
Sm1 0.3344 0.6656 0.5000  6 O 2.35-2.40
Sm2 0.6656 0.3344 0.5000  6 O 2.35-2.40
Pb1 0.0000 0.0000 0.5000  6 O 2.22-2.30
O1 0.7426 0.7426 0.6703  1 Pb 2.22, 2 Sm 2.40
O2 0.0478 0.3762 0.6705  1 Pb 2.30, 2 Sm 2.35-2.38
O3 0.2574 0.2574 0.3297  1 Pb 2.22, 2 Sm 2.40
O4 0.3762 0.0478 0.6705  1 Pb 2.30, 2 Sm 2.35-2.38
O5 0.9522 0.6238 0.3295  1 Pb 2.30, 2 Sm 2.35-2.38
O6 0.6238 0.9522 0.3295  1 Pb 2.30, 2 Sm 2.35-2.38

Computed properties:
Space group = C2/m
Uncorrected formation energy = -2285 kJ/mol of formula units
Density = 5.9 Mg/m³